Entry 1:
# TaCdCu | Alexandria via LeMat-Bulk | GGA-PBE | optimized geometry
# ΔH_f (0 K)	0.259	eV per atom
# distance to the lowest polymorph of the same formula	0.1836	eV per atom
# D(E_F)	2.05	states/eV per cell
# total energy	-5.3624	eV/atom
data_TaCdCu
_chemical_formula_sum 'Ta1 Cd1 Cu1'
_cell_length_a 2.8938
_cell_length_b 2.8938
_cell_length_c 7.1556
_cell_angle_alpha 90.00
_cell_angle_beta 90.00
_cell_angle_gamma 120.00
_space_group_name_H-M_alt 'P 3 m 1'
_space_group_IT_number 156
_space_group_name_Hall 'P 3 -2"'
loop_
_atom_site_label
_atom_site_type_symbol
_atom_site_fract_x
_atom_site_fract_y
_atom_site_fract_z
Ta1 Ta 0.0000 0.0000 0.0000
Cd1 Cd 0.6667 0.3333 0.3710
Cu1 Cu 0.3333 0.6667 0.6939

---

Entry 2:
# TaCd2Cu | Alexandria via LeMat-Bulk | GGA-PBE | optimized geometry
# ΔH_f (0 K)	0.473	eV per atom
# distance to the lowest polymorph of the same formula	0.3440	eV per atom
# D(E_F)	3.64	states/eV per cell
# total energy	-3.9716	eV/atom
data_TaCd2Cu
_chemical_formula_sum 'Ta2 Cd4 Cu2'
_cell_length_a 4.656
_cell_length_b 4.656
_cell_length_c 6.605
_cell_angle_alpha 90.00
_cell_angle_beta 90.00
_cell_angle_gamma 90.00
_space_group_name_H-M_alt 'I -4 m 2'
_space_group_IT_number 119
_space_group_name_Hall 'I -4 -2'
loop_
_atom_site_label
_atom_site_type_symbol
_atom_site_fract_x
_atom_site_fract_y
_atom_site_fract_z
Ta1 Ta 0.000 0.000 0.000
Cd1 Cd 0.000 0.000 0.500
Cd2 Cd 0.000 0.500 0.750
Cu1 Cu 0.000 0.500 0.250

---

Entry 3:
# TaCd2Cu2 | Alexandria via LeMat-Bulk | GGA-PBE | optimized geometry
# ΔH_f (0 K)	0.309	eV per atom
# D(E_F)	4.77	states/eV per cell
# total energy	-4.0662	eV/atom
data_TaCd2Cu2
_chemical_formula_sum 'Ta2 Cd4 Cu4'
_cell_length_a 7.619
_cell_length_b 7.619
_cell_length_c 2.866
_cell_angle_alpha 90.00
_cell_angle_beta 90.00
_cell_angle_gamma 90.00
_space_group_name_H-M_alt 'P 4/m b m'
_space_group_IT_number 127
_space_group_name_Hall '-P 4 2ab'
loop_
_atom_site_label
_atom_site_type_symbol
_atom_site_fract_x
_atom_site_fract_y
_atom_site_fract_z
Ta1 Ta 0.000 0.000 0.000
Cd1 Cd 0.175 0.325 0.500
Cu1 Cu 0.122 0.622 0.000

---

Entry 4:
# Ta2CdCu | Alexandria via LeMat-Bulk | GGA-PBE | optimized geometry
# ΔH_f (0 K)	0.282	eV per atom
# D(E_F)	7.46	states/eV per cell
# total energy	-6.8972	eV/atom
data_Ta2CdCu
_chemical_formula_sum 'Ta4 Cd2 Cu2'
_cell_length_a 3.342
_cell_length_b 4.363
_cell_length_c 9.491
_cell_angle_alpha 90.00
_cell_angle_beta 90.00
_cell_angle_gamma 90.00
_space_group_name_H-M_alt 'I m m m'
_space_group_IT_number 71
_space_group_name_Hall '-I 2 2'
loop_
_atom_site_label
_atom_site_type_symbol
_atom_site_fract_x
_atom_site_fract_y
_atom_site_fract_z
Ta1 Ta 0.000 0.000 0.235
Cd1 Cd 0.000 0.500 0.000
Cu1 Cu 0.000 0.500 0.500